Record 1
Below is a relaxed structure of Sr3Li2SeO6, with properties calculated at the PBE-GGA level.

## Properties
As for the total energy: -5.388 eV per atom. Its symmetry is P-3m1.

The structure in POSCAR format:
```
Sr3Li2SeO6
1.0
-3.304 -4.056 2.500
-0.158 0.729 -5.750
4.689 -4.230 -0.665
Sr Li Se O
3 2 1 6
Cartesian
1.693 -3.482 -3.411
-0.466 -4.075 -0.504
0.000 0.000 0.000
1.507 -5.855 -0.784
-0.281 -1.702 -3.131
2.345 -2.115 -0.333
-0.931 -3.401 -3.329
0.830 -1.709 -1.676
0.749 -1.339 -4.600
0.397 -5.848 -2.238
2.158 -4.156 -0.586
0.477 -6.218 0.685
```

Record 2
Below is a relaxed structure of Sr2LiSe2O6, with properties calculated at the PBE-GGA level.

## Properties
As for the total energy: -5.450 eV per atom. Its symmetry is R-3m.

The structure in POSCAR format:
```
Sr2LiSe2O6
1.0
5.510 0.000 0.000
2.755 4.772 0.000
2.755 1.591 5.971
Sr Li Se O
2 1 2 6
Cartesian
8.265 4.772 3.692
2.755 1.591 2.279
0.000 0.000 0.000
5.510 3.181 5.128
5.510 3.181 0.843
6.875 3.969 1.624
4.145 3.969 1.624
5.510 1.605 1.624
5.510 4.757 4.348
6.875 2.393 4.348
4.145 2.393 4.348
```

Record 3
Below is a relaxed structure of SrLi3Se4O12, with properties calculated at the PBE-GGA level.

## Properties
As for the total energy: -4.994 eV per atom. Its symmetry is R32.

The structure in POSCAR format:
```
SrLi3Se4O12
1.0
-0.346 0.044 -6.804
3.193 -5.804 1.594
-6.421 -0.849 2.115
Sr Li Se O
1 3 4 12
Cartesian
0.000 0.000 0.000
1.170 -2.460 -3.208
-3.819 -0.467 -1.705
-0.924 -3.682 1.817
-3.228 -0.923 -4.968
-4.261 -3.668 2.085
2.129 -5.322 -1.760
-1.787 -3.304 -1.548
-3.252 -2.550 -1.468
0.869 -2.914 -5.447
-0.239 -5.861 2.124
-5.990 -1.138 -1.320
-1.734 -0.243 -1.868
1.000 -2.057 -1.150
-1.471 -1.778 1.108
-4.217 -5.141 -1.099
-3.071 -4.331 -4.151
-1.227 -6.276 -2.126
-0.861 -3.168 -2.907
-1.248 -4.195 -0.268
```

Record 4
Below is a relaxed structure of SrLiSe2O6, with properties calculated at the PBE-GGA level.

## Properties
As for the total energy: -5.467 eV per atom. Its symmetry is R-3.

The structure in POSCAR format:
```
SrLiSe2O6
1.0
-0.402 4.688 2.692
-4.390 1.030 3.009
1.007 -0.532 6.534
Sr Li Se O
1 1 2 6
Cartesian
0.000 0.000 0.000
-1.893 2.593 6.118
-3.180 4.209 8.570
-0.606 0.978 3.665
-1.404 0.402 6.421
0.173 3.050 6.927
-1.170 2.573 3.971
-2.381 4.785 5.814
-3.959 2.137 5.308
-2.615 2.614 8.265
```

Record 5
Below is a relaxed structure of SrLi2SeO, with properties calculated at the PBE-GGA level.

## Properties
As for the total energy: -4.561 eV per atom. Its symmetry is P4/mmm.

The structure in POSCAR format:
```
SrLi2SeO
1.0
4.266 0.000 0.000
0.000 4.266 0.000
0.000 0.000 4.968
Sr O Se Li
1 1 1 2
Cartesian
0.000 0.000 2.484
0.000 0.000 0.000
2.133 2.133 2.484
0.000 2.133 0.000
2.133 0.000 0.000
```

Record 6
Below is a relaxed structure of LiTaSeO6, with properties calculated at the PBE-GGA level.

## Properties
As for the total energy: -6.838 eV per atom. Its symmetry is P-31c.

The structure in POSCAR format:
```
LiTaSeO6
1.0
-2.201 4.535 0.828
1.241 -2.996 3.947
8.585 4.093 0.407
Li Ta Se O
2 2 2 12
Cartesian
0.000 0.000 0.000
4.293 2.047 0.204
1.092 3.048 1.970
6.532 2.584 3.213
2.240 0.538 3.009
5.385 5.095 2.173
0.649 1.446 3.099
1.629 -0.459 1.596
4.687 4.289 0.682
5.996 6.091 3.587
2.772 1.945 1.961
3.823 -0.334 2.699
5.997 6.348 0.983
2.938 1.343 4.501
3.801 5.966 2.484
1.628 -0.716 4.200
4.853 3.687 3.222
6.976 4.186 2.084
```

Record 7
Below is a relaxed structure of Li2TaSeO6, with properties calculated at the PBE-GGA level.

## Properties
As for the total energy: -6.596 eV per atom. Its symmetry is P4mm.

The structure in POSCAR format:
```
Li2TaSeO6
1.0
4.230 0.000 0.000
0.000 5.444 0.000
0.000 0.000 5.444
Li Ta Se O
2 1 1 6
Cartesian
3.909 2.722 0.000
3.909 0.000 2.722
2.652 2.722 2.722
2.663 0.000 0.000
3.075 1.345 1.345
3.075 1.345 4.098
0.836 2.722 2.722
1.004 0.000 0.000
3.075 4.098 4.098
3.075 4.098 1.345
```

Record 8
Below is a relaxed structure of Li2TaSe2O2, with properties calculated at the PBE-GGA level.

## Properties
As for the total energy: -6.197 eV per atom. Its symmetry is C2/m.

The structure in POSCAR format:
```
Li2TaSe2O2
1.0
3.535 0.000 0.000
1.767 6.214 0.821
1.767 3.172 5.654
Li Ta Se O
2 1 2 2
Cartesian
1.767 2.549 1.150
5.302 6.837 5.325
0.000 0.000 0.000
3.535 3.484 3.670
3.535 5.902 2.805
3.535 7.522 6.018
3.535 1.864 0.456
```

Record 9
Below is a relaxed structure of Li3TbSe4O12, with properties calculated at the PBE-GGA level.

## Properties
As for the total energy: -5.271 eV per atom. Its symmetry is R32.

The structure in POSCAR format:
```
Li3TbSe4O12
1.0
6.697 -0.124 -0.172
-1.733 6.470 -0.172
-1.733 -2.216 6.081
Li Tb Se O
3 1 4 12
Cartesian
3.128 2.668 -0.172
1.835 -1.330 3.434
-1.733 2.793 2.475
0.000 0.000 0.000
5.027 -0.603 2.869
-1.797 1.218 5.399
1.615 5.580 0.339
1.615 2.065 2.869
1.615 0.734 3.827
5.308 2.982 0.130
-2.078 4.953 2.869
1.615 -1.740 5.607
1.791 -0.524 1.393
1.012 2.097 -0.055
-0.940 0.809 1.971
1.439 2.643 5.792
4.170 2.518 4.344
2.218 4.847 3.767
2.907 2.386 1.911
0.323 3.075 2.869
```

Record 10
Below is a relaxed structure of Li2Tb3Se3O2, with properties calculated at the PBE-GGA level.

## Properties
As for the total energy: -5.915 eV per atom. Its symmetry is I4/mmm.

The structure in POSCAR format:
```
Li2Tb3Se3O2
1.0
4.027 0.000 0.000
0.000 4.027 0.000
-2.013 -2.013 12.414
Li Tb Se O
2 3 3 2
Cartesian
2.013 0.000 6.207
0.000 2.013 6.207
2.013 2.013 9.004
2.013 2.013 0.000
0.000 0.000 3.410
2.013 2.013 2.927
0.000 0.000 9.487
0.000 0.000 0.000
2.013 2.013 6.985
0.000 0.000 5.429
```

Record 11
Below is a relaxed structure of LiTbSeO, with properties calculated at the PBE-GGA level.

## Properties
As for the total energy: -6.147 eV per atom. Its symmetry is P4/nmm.

The structure in POSCAR format:
```
LiTbSeO
1.0
3.932 0.000 0.000
0.000 3.932 0.000
0.000 0.000 8.969
Li Tb Se O
2 2 2 2
Cartesian
1.966 1.966 0.000
0.000 0.000 0.000
1.966 0.000 5.604
0.000 1.966 3.365
0.000 1.966 7.357
1.966 0.000 1.611
0.000 0.000 4.484
1.966 1.966 4.484
```

Record 12
Below is a relaxed structure of Li2ThSeO6, with properties calculated at the PBE-GGA level.

## Properties
As for the total energy: -6.286 eV per atom. Its symmetry is P4mm.

The structure in POSCAR format:
```
Li2ThSeO6
1.0
4.551 0.000 0.000
0.000 5.643 0.000
0.000 0.000 5.643
Li Th Se O
2 1 1 6
Cartesian
4.210 2.821 0.000
4.210 0.000 2.821
2.781 2.821 2.821
2.868 0.000 0.000
3.352 1.231 1.231
3.352 1.231 4.412
0.640 2.821 2.821
1.223 0.000 0.000
3.352 4.412 4.412
3.352 4.412 1.231
```

- Which value of total energy does entry 4 give?
  -5.467 eV per atom

- What is the formula in the seventh record?
  Li2TaSeO6

- The lowest total energy belongs to which entry?
  LiTaSeO6